[1]
VASP calculation (PBE) on a geometry-optimized Pm4BiPd15 structure.

Cell lengths 4.175, 4.175, 20.872 Å; angles 90.00, 90.00, 90.00 degrees
Fractional coordinates of all 20 atoms:
Pm (0.000, 0.000, 0.400)
Pm (0.000, 0.000, 0.800)
Pm (0.000, 0.000, 0.600)
Pm (0.000, 0.000, 0.200)
Pd (0.500, 0.000, 0.903)
Pd (0.500, 0.500, 0.399)
Pd (0.500, 0.500, 0.195)
Pd (0.500, 0.000, 0.298)
Pd (0.500, 0.500, 0.000)
Pd (0.500, 0.000, 0.500)
Pd (0.500, 0.000, 0.702)
Pd (0.500, 0.500, 0.601)
Pd (0.500, 0.000, 0.097)
Pd (0.000, 0.500, 0.097)
Pd (0.000, 0.500, 0.702)
Pd (0.500, 0.500, 0.805)
Pd (0.000, 0.500, 0.500)
Pd (0.000, 0.500, 0.903)
Pd (0.000, 0.500, 0.298)
Bi (0.000, 0.000, 0.000)

Output
- ΔH_f (0 K) (meV/atom) = -687
- space-group type = P4/mmm, No. 123

=====

[2]
VASP calculation (PBE) on a geometry-optimized Ru2NCl structure.

Cell lengths 4.958, 4.958, 6.118 Å; angles 66.09, 66.09, 90.00 degrees
Fractional coordinates of all 8 atoms:
N (0.250, 0.750, 0.500)
N (0.500, 0.500, 0.000)
Ru (0.536, 0.125, 0.250)
Ru (0.875, 0.786, 0.750)
Ru (0.214, 0.625, 0.250)
Ru (0.375, 0.464, 0.750)
Cl (0.750, 0.250, 0.500)
Cl (0.000, 0.000, 0.000)

Output
- energy relative to the elements, uncorrected (eV per atom) = 0.403
- distance to the lowest polymorph of the same formula (meV per atom) = 0
- space-group type = I-42d, No. 122

=====

[3]
VASP calculation (PBE) on a geometry-optimized PmTm2Hg5 structure.

Cell lengths 5.210, 5.210, 8.178 Å; angles 108.57, 108.57, 90.00 degrees
Fractional coordinates of all 8 atoms:
Tm (0.265, 0.265, 0.531)
Tm (0.735, 0.735, 0.469)
Hg (0.130, 0.630, 0.260)
Hg (0.870, 0.370, 0.740)
Hg (0.370, 0.870, 0.740)
Hg (0.630, 0.130, 0.260)
Hg (0.500, 0.500, 0.000)
Pm (0.000, 0.000, 0.000)

Output
- ΔH_f (0 K) (meV/atom) = -430
- space-group type = I4/mmm, No. 139

=====

[4]
VASP calculation (PBE) on a geometry-optimized Zr2CuPd2 structure.

Cell lengths 5.062, 5.739, 7.253 Å; angles 113.31, 110.42, 90.00 degrees
Fractional coordinates of all 10 atoms:
Pd (0.407, 0.066, 0.814)
Pd (0.907, 0.748, 0.814)
Pd (0.593, 0.934, 0.186)
Pd (0.093, 0.252, 0.186)
Cu (0.750, 0.500, 0.000)
Cu (0.250, 0.500, 0.000)
Zr (0.172, 0.875, 0.344)
Zr (0.328, 0.531, 0.656)
Zr (0.672, 0.469, 0.344)
Zr (0.828, 0.125, 0.656)

Output
- distance to the lowest polymorph of the same formula (meV per atom) = 16
- ΔH_f (0 K) (meV/atom) = -404
- space-group type = Ibam, No. 72

=====

[5]
VASP calculation (PBE) on a geometry-optimized CsTiBeAg2 structure.

Cell lengths 4.949, 4.831, 4.949 Å; angles 90.00, 90.00, 90.00 degrees
Fractional coordinates of all 5 atoms:
Ti (0.000, 0.500, 0.000)
Be (0.000, 0.000, 0.000)
Ag (0.500, 0.000, 0.000)
Ag (0.000, 0.000, 0.500)
Cs (0.500, 0.500, 0.500)

Output
- ΔH_f (0 K) (meV/atom) = 673
- space-group type = P4/mmm, No. 123

=====

[6]
VASP calculation (PBE) on a geometry-optimized Pr4NdAg structure.

Cell lengths 3.733, 3.733, 14.305 Å; angles 90.00, 90.00, 90.00 degrees
Fractional coordinates of all 6 atoms:
Pr (0.000, 0.000, 0.635)
Pr (0.500, 0.500, 0.819)
Pr (0.000, 0.000, 0.365)
Pr (0.500, 0.500, 0.181)
Ag (0.500, 0.500, 0.500)
Nd (0.000, 0.000, 0.000)

Output
- distance to the lowest polymorph of the same formula (meV per atom) = 0
- ΔH_f (0 K) (meV/atom) = -64
- space-group type = P4/mmm, No. 123

=====

[7]
VASP calculation (PBE) on a geometry-optimized Rb4Sm3ZrO8 structure.

Cell lengths 7.091, 7.747, 7.091 Å; angles 117.23, 120.00, 90.00 degrees
Fractional coordinates of all 16 atoms:
Rb (0.500, 0.000, 0.000)
Rb (0.500, 0.000, 0.500)
Rb (0.000, 0.000, 0.500)
Rb (0.000, 0.000, 0.000)
O (0.726, 0.678, 0.452)
O (0.251, 0.326, 0.039)
O (0.212, 0.674, 0.425)
O (0.788, 0.326, 0.575)
O (0.212, 0.674, 0.961)
O (0.749, 0.674, 0.961)
O (0.274, 0.322, 0.548)
O (0.788, 0.326, 0.039)
Sm (0.000, 0.500, 0.500)
Sm (0.500, 0.500, 0.000)
Sm (0.500, 0.500, 0.500)
Zr (0.000, 0.500, 0.000)

Output
- energy relative to the elements, uncorrected (eV per atom) = -2.514
- space-group type = R-3m, No. 166

=====

[8]
VASP calculation (PBE) on a geometry-optimized Nd3Y2Ge4 structure.

Cell lengths 7.755, 8.924, 7.979 Å; angles 90.00, 90.00, 122.68 degrees
Fractional coordinates of all 18 atoms:
Ge (0.248, 0.917, 0.540)
Ge (0.748, 0.917, 0.960)
Ge (0.884, 0.508, 0.127)
Ge (0.252, 0.083, 0.040)
Ge (0.116, 0.492, 0.873)
Ge (0.616, 0.492, 0.627)
Ge (0.752, 0.083, 0.460)
Ge (0.384, 0.508, 0.373)
Nd (0.500, 0.500, 0.000)
Nd (0.872, 0.803, 0.318)
Nd (0.000, 0.500, 0.500)
Nd (0.372, 0.803, 0.182)
Nd (0.128, 0.197, 0.682)
Nd (0.628, 0.197, 0.818)
Y (0.506, 0.239, 0.335)
Y (0.494, 0.761, 0.665)
Y (0.006, 0.239, 0.165)
Y (0.994, 0.761, 0.835)

Output
- ΔH_f (0 K) (meV/atom) = -848
- space-group type = P2_1/c, No. 14

=====

[9]
VASP calculation (PBE) on a geometry-optimized YMn4Co structure.

Cell lengths 4.928, 4.928, 4.928 Å; angles 60.00, 60.00, 60.00 degrees
Fractional coordinates of all 6 atoms:
Co (0.000, 0.000, 0.000)
Mn (0.375, 0.375, 0.375)
Mn (0.375, 0.876, 0.375)
Mn (0.375, 0.375, 0.876)
Mn (0.876, 0.375, 0.375)
Y (0.750, 0.750, 0.750)

Output
- ΔH_f (0 K) (meV/atom) = 285
- space-group type = F-43m, No. 216

=====

[10]
VASP calculation (PBE) on a geometry-optimized Ce5In structure.

Cell lengths 5.219, 5.211, 6.725 Å; angles 89.95, 90.00, 120.05 degrees
Fractional coordinates of all 6 atoms:
Ce (0.028, 0.057, 0.659)
Ce (0.360, 0.721, 0.118)
Ce (0.361, 0.722, 0.660)
Ce (0.694, 0.389, 0.389)
Ce (0.028, 0.056, 0.118)
In (0.694, 0.389, 0.889)

Output
- distance to the lowest polymorph of the same formula (meV per atom) = 0
- ΔH_f (0 K) (meV/atom) = -69
- space-group type = C2/m, No. 12

=====

[11]
VASP calculation (PBE) on a geometry-optimized MgP2CN6 structure.

Cell lengths 5.257, 6.434, 6.434 Å; angles 94.65, 72.55, 72.55 degrees
Fractional coordinates of all 20 atoms:
C (0.750, 0.820, 0.180)
C (0.250, 0.180, 0.820)
N (0.718, 0.791, 0.955)
N (0.984, 0.332, 0.819)
N (0.189, 0.608, 0.577)
N (0.218, 0.955, 0.791)
N (0.311, 0.423, 0.392)
N (0.484, 0.819, 0.332)
N (0.282, 0.209, 0.045)
N (0.016, 0.668, 0.181)
N (0.782, 0.045, 0.209)
N (0.689, 0.577, 0.608)
N (0.516, 0.181, 0.668)
N (0.811, 0.392, 0.423)
Mg (0.250, 0.888, 0.112)
Mg (0.750, 0.112, 0.888)
P (0.400, 0.768, 0.575)
P (0.900, 0.575, 0.768)
P (0.600, 0.232, 0.425)
P (0.100, 0.425, 0.232)

Output
- energy relative to the elements, uncorrected (eV per atom) = -0.145
- space-group type = C2/c, No. 15

=====

[12]
VASP calculation (PBE) on a geometry-optimized KGa3Te structure.

Cell lengths 5.794, 5.794, 5.794 Å; angles 90.00, 90.00, 90.00 degrees
Fractional coordinates of all 5 atoms:
Ga (0.000, 0.500, 0.000)
Ga (0.500, 0.000, 0.000)
Ga (0.000, 0.000, 0.500)
K (0.000, 0.000, 0.000)
Te (0.500, 0.500, 0.500)

Output
- energy relative to the elements, uncorrected (eV per atom) = 0.826
- distance to the lowest polymorph of the same formula (meV per atom) = 519
- space-group type = Pm-3m, No. 221